Density functional theory data (PBE-GGA) for a relaxed Ac2NbAlO8 crystal.

The structure belongs to space group P-3m1 (No. 164); the cell edges are 6.7778, 6.7778 and 5.1276 Å and the angles 90.00°, 90.00° and 120.00°. The asymmetric unit holds Ac at (0.3333, 0.6667, 0.2304), Nb at (0.0000, 0.0000, 0.5000), Al at (0.0000, 0.0000, 0.0000), O at (0.1275, 0.2550, 0.2379) and O at (0.3333, 0.6667, 0.7321).

For the raw formation energy, the calculation gives -2.41 eV/atom.

Density functional theory data (PBE-GGA) for a relaxed AcNb2AlO8 crystal.

The structure belongs to space group P-3m1 (No. 164); the cell edges are 5.7670, 5.7670 and 6.6544 Å and the angles 90.00°, 90.00° and 120.00°. The asymmetric unit holds Ac at (0.0000, 0.0000, 0.0000), Nb at (0.3333, 0.6667, 0.2538), Al at (0.0000, 0.0000, 0.5000), O at (0.1500, 0.2999, 0.3223) and O at (0.3333, 0.6667, 0.9802).

For the raw formation energy, the calculation gives -2.82 eV/atom.

Density functional theory data (PBE-GGA) for a relaxed AcNd3Al8 crystal.

The structure belongs to space group R3m (No. 160, hexagonal axes); the cell edges are 5.7414, 5.7414 and 28.1681 Å and the angles 90.00°, 90.00° and 120.00°. The asymmetric unit holds Ac at (0.0000, 0.0000, 0.0000), Nd at (0.0000, 0.0000, 0.3745), Nd at (0.0000, 0.0000, 0.4997), Nd at (0.0000, 0.0000, 0.8748), Al at (0.0000, 0.0000, 0.1869), Al at (0.0000, 0.0000, 0.6879), Al at (0.0015, 0.5008, 0.4391) and Al at (0.1672, 0.3344, 0.2686).

The calculation puts the formation energy at -5.47 eV/f.u.

Density functional theory data (PBE-GGA) for a relaxed AcNd2Al6 crystal.

The structure belongs to space group Immm (No. 71); the cell edges are 4.616, 7.562 and 13.448 Å and the angles 90.00°, 90.00° and 90.00°. The asymmetric unit holds Ac at (0.000, 0.000, 0.000), Nd at (0.000, 0.500, 0.124), Al at (0.000, 0.176, 0.500) and Al at (0.000, 0.302, 0.315).

Its energy above the lowest structure with this stoichiometry is 179.3 meV per atom. The calculation puts the formation energy at -2.13 eV/f.u.

Density functional theory data (PBE-GGA) for a relaxed AcNd2Al crystal.

The structure belongs to space group Pmmn (No. 59, origin choice 2); the cell edges are 5.552, 7.023 and 6.599 Å and the angles 90.00°, 90.00° and 90.00°. The asymmetric unit holds Ac at (0.250, 0.250, 0.113), Nd at (0.250, 0.012, 0.644) and Al at (0.250, 0.750, 0.205).

Its energy above the lowest structure with this stoichiometry is 47.4 meV per atom. The calculation puts the formation energy at -0.38 eV/f.u.

Density functional theory data (PBE-GGA) for a relaxed AcNd2Al4 crystal.

The structure belongs to space group Immm (No. 71); the cell edges are 4.399, 4.606 and 19.366 Å and the angles 90.00°, 90.00° and 90.00°. The asymmetric unit holds Ac at (0.000, 0.000, 0.000), Nd at (0.000, 0.500, 0.314), Al at (0.000, 0.000, 0.432) and Al at (0.000, 0.500, 0.144).

The calculation puts the formation energy at -2.56 eV/f.u.

Density functional theory data (PBE-GGA) for a relaxed AcNdAl2 crystal.

The structure belongs to space group Pnma (No. 62); the cell edges are 6.627, 7.381 and 9.466 Å and the angles 90.00°, 90.00° and 90.00°. The asymmetric unit holds Ac at (0.001, 0.250, 0.204), Nd at (0.215, 0.250, 0.855) and Al at (0.172, 0.072, 0.555).

The calculation puts the formation energy at -0.99 eV/f.u.

Density functional theory data (PBE-GGA) for a relaxed Ac2NdAl crystal.

The structure belongs to space group Fm-3m (No. 225); the cell edges are 8.210, 8.210 and 8.210 Å and the angles 90.00°, 90.00° and 90.00°. The asymmetric unit holds Ac at (0.250, 0.250, 0.250), Nd at (0.000, 0.000, 0.000) and Al at (0.000, 0.000, 0.500).

Its energy above the lowest structure with this stoichiometry is 130.4 meV per atom. The calculation puts the formation energy at 0.20 eV/f.u.

Density functional theory data (PBE-GGA) for a relaxed AcNd4Al4 crystal.

The structure belongs to space group P4_2/n (No. 86, origin choice 2); the cell edges are 9.352, 9.352 and 6.035 Å and the angles 90.00°, 90.00° and 90.00°. The asymmetric unit holds Ac at (0.250, 0.250, 0.250), Nd at (0.094, 0.833, 0.611) and Al at (0.021, 0.121, 0.878).

The calculation puts the formation energy at -0.71 eV/f.u.

Density functional theory data (PBE-GGA) for a relaxed AcNd2Al crystal.

The structure belongs to space group R-3m (No. 166, hexagonal axes); the cell edges are 5.2580, 5.2580 and 16.8012 Å and the angles 90.00°, 90.00° and 120.00°. The asymmetric unit holds Ac at (0.0000, 0.0000, 0.0000), Nd at (0.0000, 0.0000, 0.2259) and Al at (0.0000, 0.0000, 0.5000).

Its energy above the lowest structure with this stoichiometry is 195.7 meV per atom. The calculation puts the formation energy at 0.21 eV/f.u.

Density functional theory data (PBE-GGA) for a relaxed AcNdAl6 crystal.

The structure belongs to space group Pmm2 (No. 25); the cell edges are 4.529, 6.411 and 6.235 Å and the angles 90.00°, 90.00° and 90.00°. The asymmetric unit holds Ac at (0.000, 0.000, 0.000), Nd at (0.500, 0.500, 0.226), Al at (0.000, 0.240, 0.482), Al at (0.000, 0.500, 0.848), Al at (0.500, 0.000, 0.411) and Al at (0.500, 0.285, 0.741).

The calculation puts the formation energy at -2.83 eV/f.u.

Density functional theory data (PBE-GGA) for a relaxed Ac2NdAl crystal.

The structure belongs to space group P4/mmm (No. 123); the cell edges are 5.204, 5.204 and 5.028 Å and the angles 90.00°, 90.00° and 90.00°. The asymmetric unit holds Ac at (0.000, 0.500, 0.000), Nd at (0.000, 0.000, 0.500) and Al at (0.500, 0.500, 0.500).

Its energy above the lowest structure with this stoichiometry is 21.7 meV per atom. The calculation puts the formation energy at -0.23 eV/f.u.

Density functional theory data (PBE-GGA) for a relaxed Ac2NdAl9 crystal.

The structure belongs to space group R-3m (No. 166, hexagonal axes); the cell edges are 5.8058, 5.8058 and 27.2664 Å and the angles 90.00°, 90.00° and 120.00°. The asymmetric unit holds Ac at (0.0000, 0.0000, 0.1409), Nd at (0.0000, 0.0000, 0.0000), Al at (0.0000, 0.0000, 0.3348), Al at (0.0000, 0.0000, 0.5000) and Al at (0.0057, 0.5028, 0.9209).

The calculation puts the formation energy at -3.61 eV/f.u.

Density functional theory data (PBE-GGA) for a relaxed AcNdAl2 crystal.

The structure belongs to space group R-3m (No. 166, hexagonal axes); the cell edges are 3.8875, 3.8875 and 28.6725 Å and the angles 90.00°, 90.00° and 120.00°. The asymmetric unit holds Ac at (0.0000, 0.0000, 0.0000), Nd at (0.0000, 0.0000, 0.5000) and Al at (0.0000, 0.0000, 0.2459).

The calculation puts the formation energy at -0.09 eV/f.u.

Density functional theory data (PBE-GGA) for a relaxed Ac2NdAl4 crystal.

The structure belongs to space group Immm (No. 71); the cell edges are 4.418, 4.535 and 20.220 Å and the angles 90.00°, 90.00° and 90.00°. The asymmetric unit holds Ac at (0.000, 0.000, 0.185), Nd at (0.000, 0.500, 0.500), Al at (0.000, 0.000, 0.369) and Al at (0.000, 0.500, 0.062).

The calculation puts the formation energy at -2.39 eV/f.u.

Density functional theory data (PBE-GGA) for a relaxed AcNdAl2 crystal.

The structure belongs to space group P4/mmm (No. 123); the cell edges are 3.860, 3.860 and 7.616 Å and the angles 90.00°, 90.00° and 90.00°. The asymmetric unit holds Ac at (0.000, 0.000, 0.000), Nd at (0.000, 0.000, 0.500) and Al at (0.500, 0.500, 0.274).

The calculation puts the formation energy at -1.13 eV/f.u.

Density functional theory data (PBE-GGA) for a relaxed AcNd2Al6 crystal.

The structure belongs to space group P6/mmm (No. 191); the cell edges are 7.9391, 7.9391 and 4.0609 Å and the angles 90.00°, 90.00° and 120.00°. The asymmetric unit holds Ac at (0.0000, 0.0000, 0.0000), Nd at (0.3333, 0.6667, 0.0000) and Al at (0.0000, 0.3370, 0.5000).

Its energy above the lowest structure with this stoichiometry is 0.0 meV per atom. The calculation puts the formation energy at -3.74 eV/f.u.

Density functional theory data (PBE-GGA) for a relaxed AcNd2Al crystal.

The structure belongs to space group P4/mmm (No. 123); the cell edges are 5.017, 5.017 and 5.028 Å and the angles 90.00°, 90.00° and 90.00°. The asymmetric unit holds Ac at (0.000, 0.000, 0.000), Nd at (0.000, 0.500, 0.500) and Al at (0.500, 0.500, 0.000).

Its energy above the lowest structure with this stoichiometry is 39.3 meV per atom. The calculation puts the formation energy at -0.41 eV/f.u.

Density functional theory data (PBE-GGA) for a relaxed Ac2NdAl crystal.

The structure belongs to space group R-3m (No. 166, hexagonal axes); the cell edges are 3.9078, 3.9078 and 33.7474 Å and the angles 90.00°, 90.00° and 120.00°. The asymmetric unit holds Ac at (0.0000, 0.0000, 0.2397), Nd at (0.0000, 0.0000, 0.0000) and Al at (0.0000, 0.0000, 0.5000).

Its energy above the lowest structure with this stoichiometry is 136.7 meV per atom. The calculation puts the formation energy at 0.23 eV/f.u.

Density functional theory data (PBE-GGA) for a relaxed AcNd6Al crystal.

The structure belongs to space group P4/mmm (No. 123); the cell edges are 5.055, 5.055 and 10.423 Å and the angles 90.00°, 90.00° and 90.00°. The asymmetric unit holds Ac at (0.000, 0.000, 0.000), Nd at (0.000, 0.500, 0.269), Nd at (0.500, 0.500, 0.000), Nd at (0.500, 0.500, 0.500) and Al at (0.000, 0.000, 0.500).

The calculation puts the formation energy at -0.30 eV/f.u.

Density functional theory data (PBE-GGA) for a relaxed AcNdAl2 crystal.

The structure belongs to space group Cmcm (No. 63); the cell edges are 4.908, 13.011 and 7.334 Å and the angles 90.00°, 90.00° and 90.00°. The asymmetric unit holds Ac at (0.000, 0.065, 0.250), Nd at (0.000, 0.221, 0.750) and Al at (0.000, 0.401, 0.070).

The calculation puts the formation energy at -1.33 eV/f.u.

Density functional theory data (PBE-GGA) for a relaxed AcNd2Al crystal.

The structure belongs to space group R3m (No. 160, hexagonal axes); the cell edges are 5.2234, 5.2234 and 17.9307 Å and the angles 90.00°, 90.00° and 120.00°. The asymmetric unit holds Ac at (0.0000, 0.0000, 0.0000), Nd at (0.0000, 0.0000, 0.5532), Nd at (0.0000, 0.0000, 0.7849) and Al at (0.0000, 0.0000, 0.1944).

Its energy above the lowest structure with this stoichiometry is 179.6 meV per atom. The calculation puts the formation energy at 0.15 eV/f.u.